PBE NdMg2BeSi2, optimized geometry; total magnetic moment = 0.0 μB per formula unit; space group = I4/mmm, No. 139
1.0
-1.117 -1.749 -3.670
4.060 -0.290 -1.097
-1.118 -5.652 5.456
Be Si Mg Nd
1 2 2 1
direct
0.000 0.000 0.000
0.137 0.137 0.274
0.863 0.863 0.726
0.250 0.750 0.500
0.750 0.250 0.500
0.500 0.500 0.000

PBE TbNdMgBe, optimized geometry; total magnetic moment = 0.0 μB per formula unit; formation energy from the elements = 0.105 eV per atom; space group = F-43m, No. 216
1.0
5.172 0.000 0.000
2.586 4.479 0.000
2.586 1.493 4.223
Mg Tb Nd Be
1 1 1 1
direct
0.500 0.500 0.500
0.250 0.250 0.250
0.750 0.750 0.750
0.000 0.000 0.000

PBE NdTmMgBe, optimized geometry; total magnetic moment = 0.0 μB per formula unit; formation energy from the elements = 0.106 eV per atom; space group = F-43m, No. 216
1.0
-1.366 4.000 2.916
-4.143 2.774 -1.226
-4.222 -0.267 2.910
Mg Nd Tm Be
1 1 1 1
direct
0.500 0.500 0.500
0.750 0.750 0.750
0.250 0.250 0.250
0.000 0.000 0.000

PBE NdYMgBe, optimized geometry; total magnetic moment = 0.0 μB per formula unit; formation energy from the elements = 0.093 eV per atom; space group = F-43m, No. 216
1.0
5.175 0.000 0.000
2.587 4.482 0.000
2.587 1.494 4.225
Nd Mg Y Be
1 1 1 1
direct
0.250 0.250 0.250
0.500 0.500 0.500
0.750 0.750 0.750
0.000 0.000 0.000

PBE NdMgBeZn, optimized geometry; total magnetic moment = 0.0 μB per formula unit; formation energy from the elements = -0.087 eV per atom; space group = F-43m, No. 216
1.0
4.812 0.000 0.000
2.406 4.167 0.000
2.406 1.389 3.929
Zn Mg Be Nd
1 1 1 1
direct
0.000 0.000 0.000
0.250 0.250 0.250
0.500 0.500 0.500
0.750 0.750 0.750

PBE MgBeNi2, optimized geometry; total magnetic moment = 0.0 μB per formula unit; formation energy from the elements = -0.271 eV per atom; space group = P4/mmm, No. 123
1.0
-2.356 -0.108 1.290
-1.272 -0.299 -2.349
0.559 -6.264 0.494
Ni Mg Be
2 1 1
direct
0.000 0.000 0.049
0.000 0.000 0.451
0.500 0.500 0.750
0.500 0.500 0.250

PBE MgBeNi4, optimized geometry; total magnetic moment = 1.3 μB per formula unit; formation energy from the elements = 0.002 eV per atom; space group = F-43m, No. 216
1.0
3.211 -3.417 -0.166
-0.623 -3.667 -2.859
2.704 -0.496 -3.802
Ni Be Mg
4 1 1
direct
0.624 0.624 0.624
0.624 0.127 0.624
0.127 0.624 0.624
0.624 0.624 0.127
0.250 0.250 0.250
0.000 0.000 0.000

PBE MgBeNi2, optimized geometry; total magnetic moment = 0.0 μB per formula unit; formation energy from the elements = -0.047 eV per atom; space group = Pm, No. 6
1.0
3.924 0.000 0.000
0.000 2.615 0.037
0.000 1.056 4.648
Be Ni Mg
1 2 1
direct
0.000 0.385 0.457
0.500 0.368 0.267
0.000 0.034 0.033
0.500 0.713 0.742

PBE MgBe2Ni, optimized geometry; total magnetic moment = 0.0 μB per formula unit; formation energy from the elements = -0.007 eV per atom; space group = C2/m, No. 12
1.0
-3.563 -1.499 -1.776
-3.643 -1.934 1.040
-2.992 3.143 0.400
Mg Be Ni
1 2 1
direct
0.750 0.750 0.750
0.529 0.529 0.406
0.971 0.971 0.094
0.250 0.250 0.250

PBE Mg3BeNi, optimized geometry; relative energy among the computed polymorphs = 0.0745 eV per atom; total magnetic moment = 0.7 μB per formula unit; formation energy from the elements = 0.608 eV per atom; space group = Pm-3m, No. 221
1.0
-0.653 1.371 -4.354
-4.525 -0.769 0.436
-0.597 4.334 1.455
Mg Be Ni
3 1 1
direct
0.000 0.500 0.000
0.000 0.000 0.500
0.500 0.000 0.000
0.000 0.000 0.000
0.500 0.500 0.500

PBE MgBeNi2, optimized geometry; total magnetic moment = 0.0 μB per formula unit; formation energy from the elements = 0.132 eV per atom; space group = R3m, No. 160
1.0
-6.749 4.645 -0.556
-7.490 3.057 1.413
-6.052 5.206 1.923
Be Mg Ni
1 1 2
direct
0.511 0.511 0.511
0.749 0.749 0.749
0.245 0.245 0.245
0.995 0.995 0.995

PBE MgBe2Ni2, optimized geometry; relative energy among the computed polymorphs = 0.2197 eV per atom; total magnetic moment = 0.0 μB per formula unit; formation energy from the elements = -0.067 eV per atom; space group = I4/mmm, No. 139
1.0
-1.023 0.716 3.176
0.357 -3.285 0.855
4.498 -0.405 3.373
Ni Be Mg
2 2 1
direct
0.385 0.385 0.231
0.615 0.615 0.769
0.750 0.250 0.500
0.250 0.750 0.500
0.000 0.000 0.000

| no. | VASP energy (eV/atom) |
| --- | --- |
| 1 | -3.7702 |
| 2 | -3.5749 |
| 3 | -3.5342 |
| 4 | -4.0453 |
| 5 | -2.9277 |
| 6 | -4.4922 |
| 7 | -4.7393 |
| 8 | -4.2676 |
| 9 | -3.7144 |
| 10 | -2.2502 |
| 11 | -4.0888 |
| 12 | -4.1885 |